No. 1
The following is a PBE calculation of a relaxed structure of NaO, from the Alexandria database.

Cell lengths 2.882, 2.882, 2.882 Å; angles 90.00, 90.00, 90.00 degrees
Positions (direct):
Na1 0.000 0.000 0.000
O1 0.500 0.500 0.500

Total magnetization in μB per cell: 1.00
Density of states at the Fermi level in states/eV/cell: 0.644
Final energy in eV per atom: -3.859
Mass density in kg/m3: 2703

No. 2
The following is a PBE calculation of a relaxed structure of NaO, from the Alexandria database.

Cell lengths 4.082, 4.082, 4.061 Å; angles 114.51, 114.51, 99.35 degrees
Positions (direct):
Na1 0.000 0.500 0.000
Na2 0.500 0.000 0.000
O1 0.149 0.149 0.499
O2 0.851 0.851 0.501

Total magnetization in μB per cell: 0.00
Density of states at the Fermi level in states/eV/cell: 0.000
Final energy in eV per atom: -4.062
Mass density in kg/m3: 2527

No. 3
The following is a PBE calculation of a relaxed structure of NaO, from the Alexandria database.

Cell lengths 6.485, 6.485, 6.485 Å; angles 90.00, 90.00, 90.00 degrees
Positions (direct):
Na1 0.000 0.250 0.500
Na2 0.000 0.750 0.500
Na3 0.250 0.500 0.000
Na4 0.500 0.000 0.250
Na5 0.500 0.000 0.750
Na6 0.750 0.500 0.000
O1 0.000 0.500 0.250
O2 0.000 0.500 0.750
O3 0.250 0.000 0.500
O4 0.500 0.250 0.000
O5 0.500 0.750 0.000
O6 0.750 0.000 0.500

Total magnetization in μB per cell: 6.00
Density of states at the Fermi level in states/eV/cell: 22.967
Final energy in eV per atom: -3.647
Mass density in kg/m3: 1424

No. 4
The following is a PBE calculation of a relaxed structure of NaO, from the Alexandria database.

Cell lengths 4.142, 4.142, 3.816 Å; angles 90.00, 90.00, 128.80 degrees
Positions (direct):
Na1 0.140 0.860 0.750
Na2 0.860 0.140 0.250
O1 0.456 0.544 0.750
O2 0.544 0.456 0.250

Total magnetization in μB per cell: 0.33
Density of states at the Fermi level in states/eV/cell: 0.950
Final energy in eV per atom: -3.909
Mass density in kg/m3: 2538

No. 5
The following is a PBE calculation of a relaxed structure of NaO2, from the Alexandria database.

Cell lengths 4.901, 4.901, 4.901 Å; angles 129.83, 103.45, 97.29 degrees
Positions (direct):
Na1 0.238 0.238 0.000
Na2 0.762 0.762 0.000
O1 0.223 0.337 0.560
O2 0.223 0.663 0.886
O3 0.777 0.337 0.114
O4 0.777 0.663 0.440

Total magnetization in μB per cell: 2.01
Density of states at the Fermi level in states/eV/cell: 3.992
E above lowest polymorph in eV per atom: 0.014
Mass density in kg/m3: 2235

No. 6
The following is a PBE calculation of a relaxed structure of NaO, from the Alexandria database.

Cell lengths 6.260, 4.513, 7.268 Å; angles 90.00, 90.00, 90.00 degrees
Positions (direct):
Na1 0.062 0.250 0.143
Na2 0.107 0.250 0.604
Na3 0.393 0.750 0.104
Na4 0.438 0.750 0.643
Na5 0.562 0.250 0.357
Na6 0.607 0.250 0.896
Na7 0.893 0.750 0.396
Na8 0.938 0.750 0.857
O1 0.248 0.578 0.379
O2 0.248 0.922 0.379
O3 0.252 0.078 0.879
O4 0.252 0.422 0.879
O5 0.748 0.578 0.121
O6 0.748 0.922 0.121
O7 0.752 0.078 0.621
O8 0.752 0.422 0.621

Total magnetization in μB per cell: 0.00
Density of states at the Fermi level in states/eV/cell: 0.000
Final energy in eV per atom: -4.202
Mass density in kg/m3: 2523

No. 7
The following is a PBE calculation of a relaxed structure of NaO, from the Alexandria database.

Cell lengths 4.538, 4.538, 3.594 Å; angles 101.68, 101.68, 42.93 degrees
Positions (direct):
Na1 0.130 0.130 0.237
Na2 0.870 0.870 0.763
O1 0.420 0.420 0.347
O2 0.580 0.580 0.653

Total magnetization in μB per cell: 0.00
Density of states at the Fermi level in states/eV/cell: 0.000
Final energy in eV per atom: -4.114
Mass density in kg/m3: 2631

No. 8
The following is a PBE calculation of a relaxed structure of NaO2, from the Alexandria database.

Cell lengths 4.036, 4.036, 4.036 Å; angles 129.50, 129.50, 74.21 degrees
Positions (direct):
Na1 0.000 0.000 0.000
O1 0.394 0.394 0.000
O2 0.606 0.606 0.000

Total magnetization in μB per cell: 1.00
Density of states at the Fermi level in states/eV/cell: 1.518
E above lowest polymorph in eV per atom: 0.039
Mass density in kg/m3: 2392

No. 9
The following is a PBE calculation of a relaxed structure of Na5O, from the Alexandria database.

Cell lengths 13.017, 13.017, 3.882 Å; angles 90.00, 90.00, 165.91 degrees
Positions (direct):
Na1 0.000 0.000 0.000
Na2 0.071 0.929 0.500
Na3 0.315 0.685 0.000
Na4 0.685 0.315 0.000
Na5 0.929 0.071 0.500
O1 0.500 0.500 0.500

Total magnetization in μB per cell: 0.00
Density of states at the Fermi level in states/eV/cell: 2.141
Final energy in eV per atom: -2.373
Mass density in kg/m3: 1358

No. 10
The following is a PBE calculation of a relaxed structure of NaO2, from the Alexandria database.

Cell lengths 4.247, 4.247, 4.676 Å; angles 90.00, 90.00, 90.00 degrees
Positions (direct):
Na1 0.000 0.000 0.000
Na2 0.500 0.500 0.500
O1 0.113 0.113 0.500
O2 0.387 0.613 0.000
O3 0.613 0.387 0.000
O4 0.887 0.887 0.500

Total magnetization in μB per cell: 2.00
Density of states at the Fermi level in states/eV/cell: 5.925
E above lowest polymorph in eV per atom: 0.065
Mass density in kg/m3: 2166

No. 11
The following is a PBE calculation of a relaxed structure of NaO, from the Alexandria database.

Cell lengths 5.487, 5.487, 4.185 Å; angles 90.00, 90.00, 90.00 degrees
Positions (direct):
Na1 0.220 0.220 0.000
Na2 0.280 0.720 0.500
Na3 0.720 0.280 0.500
Na4 0.780 0.780 0.000
O1 0.100 0.100 0.500
O2 0.400 0.600 0.000
O3 0.600 0.400 0.000
O4 0.900 0.900 0.500

Total magnetization in μB per cell: 0.07
Density of states at the Fermi level in states/eV/cell: 0.000
Final energy in eV per atom: -4.139
Mass density in kg/m3: 2056

No. 12
The following is a PBE calculation of a relaxed structure of Na5O3, from the Alexandria database.

Cell lengths 8.893, 8.893, 5.630 Å; angles 90.00, 90.00, 90.00 degrees
Positions (direct):
Na1 0.053 0.154 0.093
Na2 0.053 0.346 0.593
Na3 0.154 0.053 0.593
Na4 0.154 0.447 0.093
Na5 0.250 0.750 0.000
Na6 0.250 0.750 0.500
Na7 0.346 0.053 0.093
Na8 0.346 0.447 0.593
Na9 0.447 0.154 0.593
Na10 0.447 0.346 0.093
Na11 0.553 0.654 0.907
Na12 0.553 0.846 0.407
Na13 0.654 0.553 0.407
Na14 0.654 0.947 0.907
Na15 0.750 0.250 0.000
Na16 0.750 0.250 0.500
Na17 0.846 0.553 0.907
Na18 0.846 0.947 0.407
Na19 0.947 0.654 0.407
Na20 0.947 0.846 0.907
O1 0.099 0.599 0.750
O2 0.099 0.901 0.250
O3 0.250 0.250 0.347
O4 0.250 0.250 0.847
O5 0.401 0.599 0.250
O6 0.401 0.901 0.750
O7 0.599 0.099 0.250
O8 0.599 0.401 0.750
O9 0.750 0.750 0.153
O10 0.750 0.750 0.653
O11 0.901 0.099 0.750
O12 0.901 0.401 0.250

Total magnetization in μB per cell: 4.17
Density of states at the Fermi level in states/eV/cell: 25.748
Final energy in eV per atom: -3.781
Mass density in kg/m3: 2431